Material: MgOs2Rh
Method: DFT, PBE
State: relaxed

Structure (POSCAR):
```
MgOs2Rh
1.0
4.1994 0.0000 0.0000
0.0000 2.7148 0.0091
0.0000 1.3609 5.1991
Os Mg Rh
2 1 1
direct
0.5000 0.2075 0.2067
0.0000 0.7952 0.0318
0.5000 0.9538 0.7190
0.0000 0.5435 0.5425
```

Output
DFT formation energy   134 meV/atom
SG   No. 6
Size of the total moment   0.00 μB per formula unit



Material: Mg2OsRh
Method: DFT, PBE
State: relaxed

Structure (POSCAR):
```
Mg2OsRh
1.0
9.4998 0.0000 0.0000
9.0738 2.8132 0.0000
9.0738 1.3743 2.4546
Mg Rh Os
2 1 1
direct
0.0088 0.0088 0.0088
0.2426 0.2426 0.2426
0.7536 0.7536 0.7536
0.4950 0.4950 0.4950
```

Output
DFT formation energy   90 meV/atom
SG   No. 160
Relative energy among the computed polymorphs   183 meV/atom
Size of the total moment   0.00 μB per formula unit



Material: Mg2OsRh
Method: DFT, PBE
State: relaxed

Structure (POSCAR):
```
Mg2OsRh
1.0
2.7752 0.0047 0.0000
-1.0652 2.5626 0.0000
0.0000 0.0000 8.6607
Mg Rh Os
2 1 1
direct
0.0000 0.0000 0.9933
0.0000 0.0000 0.5067
0.5000 0.5000 0.7500
0.5000 0.5000 0.2500
```

Output
DFT formation energy   6 meV/atom
SG   No. 65
Relative energy among the computed polymorphs   99 meV/atom
Size of the total moment   0.00 μB per formula unit



Material: Mg2OsRh
Method: DFT, PBE
State: relaxed

Structure (POSCAR):
```
Mg2OsRh
1.0
-0.4432 -3.7058 2.4551
2.4228 -0.5198 3.7171
-1.9779 0.1945 4.0008
Mg Os Rh
2 1 1
direct
0.2500 0.2500 0.2500
0.0000 0.0000 0.0000
0.5000 0.5000 0.5000
0.7500 0.7500 0.7500
```

Output
DFT formation energy   108 meV/atom
SG   No. 216
Relative energy among the computed polymorphs   200 meV/atom
Size of the total moment   2.08 μB per formula unit



Material: MgTaOsRh
Method: DFT, PBE
State: relaxed

Structure (POSCAR):
```
MgTaOsRh
1.0
-2.8424 1.5377 -3.0528
-4.0364 -1.8205 -0.3957
-3.6006 2.2805 1.2642
Ta Os Mg Rh
1 1 1 1
direct
0.0000 0.0000 0.0000
0.7500 0.7500 0.7500
0.5000 0.5000 0.5000
0.2500 0.2500 0.2500
```

Output
DFT formation energy   -439 meV/atom
SG   No. 216
Size of the total moment   0.00 μB per formula unit



Material: MgTl2OsRh
Method: DFT, PBE
State: relaxed

Structure (POSCAR):
```
MgTl2OsRh
1.0
-2.5980 -3.3693 -2.9960
3.8692 0.1091 -3.4778
2.1394 -3.6638 2.2652
Os Tl Rh Mg
1 2 1 1
direct
0.0000 0.0000 0.5000
0.5000 0.0000 0.0000
0.0000 0.5000 0.0000
0.0000 0.0000 0.0000
0.5000 0.5000 0.5000
```

Output
DFT formation energy   954 meV/atom
SG   No. 123
Size of the total moment   0.21 μB per formula unit



Material: MgVOsRh2
Method: DFT, PBE
State: relaxed

Structure (POSCAR):
```
MgVOsRh2
1.0
4.3781 0.0000 0.0000
0.0000 4.7067 0.0000
0.0000 0.0000 4.3781
V Mg Rh Os
1 1 2 1
direct
0.0000 0.0000 0.0000
0.0000 0.5000 0.0000
0.5000 0.0000 0.0000
0.0000 0.0000 0.5000
0.5000 0.5000 0.5000
```

Output
DFT formation energy   1339 meV/atom
SG   No. 123
Size of the total moment   3.04 μB per formula unit



Material: MgZr2OsRh
Method: DFT, PBE
State: relaxed

Structure (POSCAR):
```
MgZr2OsRh
1.0
-4.5588 1.5936 1.3258
0.3669 -2.4235 4.1744
2.0379 4.0316 2.1615
Zr Os Rh Mg
2 1 1 1
direct
0.5000 0.0000 0.0000
0.0000 0.0000 0.5000
0.0000 0.0000 0.0000
0.0000 0.5000 0.0000
0.5000 0.5000 0.5000
```

Output
DFT formation energy   457 meV/atom
SG   No. 123
Size of the total moment   0.00 μB per formula unit



Material: MgOs2Ru2
Method: DFT, PBE
State: relaxed

Structure (POSCAR):
```
MgOs2Ru2
1.0
7.5481 0.0000 0.0000
0.0000 7.5481 0.0000
0.0000 0.0000 2.7475
Ru Os Mg
4 4 2
direct
0.6224 0.1224 0.0000
0.8776 0.6224 0.0000
0.1224 0.3776 0.0000
0.3776 0.8776 0.0000
0.1710 0.6710 0.5000
0.6710 0.8290 0.5000
0.8290 0.3290 0.5000
0.3290 0.1710 0.5000
0.0000 0.0000 0.0000
0.5000 0.5000 0.0000
```

Output
DFT formation energy   225 meV/atom
SG   No. 127
Size of the total moment   0.01 μB per formula unit



Material: Mg3OsRu
Method: DFT, PBE
State: relaxed

Structure (POSCAR):
```
Mg3OsRu
1.0
4.8649 0.0000 0.0000
0.0000 4.8649 0.0000
0.0000 0.0000 4.8649
Os Mg Ru
1 3 1
direct
0.0000 0.0000 0.0000
0.0000 0.0000 0.5000
0.0000 0.5000 0.0000
0.5000 0.0000 0.0000
0.5000 0.5000 0.5000
```

Output
DFT formation energy   1226 meV/atom
SG   No. 221
Relative energy among the computed polymorphs   0 meV/atom
Size of the total moment   2.46 μB per formula unit



Material: MgOsRu2
Method: DFT, PBE
State: relaxed

Structure (POSCAR):
```
MgOsRu2
1.0
5.1110 0.0036 -0.0003
2.2863 4.5712 0.0003
-3.1517 -3.1718 2.4757
Ru Mg Os
2 1 1
direct
0.9992 0.9992 0.0000
0.5008 0.5008 0.0000
0.7500 0.2500 0.5000
0.2500 0.7500 0.5000
```

Output
DFT formation energy   267 meV/atom
SG   No. 71
Size of the total moment   0.00 μB per formula unit



Material: MgOsRu2
Method: DFT, PBE
State: relaxed

Structure (POSCAR):
```
MgOsRu2
1.0
-1.6867 1.7725 -1.4072
-1.4899 0.4515 2.3544
4.4940 5.6709 1.7563
Os Ru Mg
1 2 1
direct
0.5000 0.5000 0.7500
0.0000 0.0000 0.5143
0.0000 0.0000 0.9857
0.5000 0.5000 0.2500
```

Output
DFT formation energy   110 meV/atom
SG   No. 123
Size of the total moment   0.00 μB per formula unit